(1)
DFT (PBE-GGA) results for an optimized crystal structure of TbSi3Pd2.

a b c (Å): 5.7237 5.9979 6.0292
angles (deg): 90.00 90.05 90.00
Element x y z (fractional)
Tb (0.1276, 0.2500, 0.2505)
Tb (0.8724, 0.7500, 0.7495)
Si (0.0430, 0.2500, 0.7502)
Si (0.3089, 0.7500, 0.0490)
Si (0.3092, 0.7500, 0.4509)
Si (0.6908, 0.2500, 0.5491)
Si (0.6911, 0.2500, 0.9510)
Si (0.9570, 0.7500, 0.2498)
Pd (0.3831, 0.0093, 0.7501)
Pd (0.3831, 0.4907, 0.7501)
Pd (0.6169, 0.5093, 0.2499)
Pd (0.6169, 0.9907, 0.2499)

Output
symmetry = No. 11
volume = 17.248 Å³/atom
total moment = 0.0 μB per cell
raw formation energy = -707 meV/atom

***

(2)
DFT (PBE-GGA) results for an optimized crystal structure of CrCuMo2.

a b c (Å): 2.5820 2.5820 8.4909
angles (deg): 90.00 90.00 90.00
Element x y z (fractional)
Cr (0.0000, 0.0000, 0.0000)
Cu (0.5000, 0.5000, 0.2203)
Mo (0.0000, 0.0000, 0.4659)
Mo (0.5000, 0.5000, 0.7446)

Output
symmetry = No. 99
volume = 14.152 Å³/atom
total moment = 0.0 μB per cell
energy relative to the lowest polymorph listed for this composition = 15.5 kJ/mol of atoms
formation enthalpy at 0 K = 332.1 meV/atom

***

(3)
DFT (PBE-GGA) results for an optimized crystal structure of BaMn2Te.

a b c (Å): 10.3907 10.3907 10.3907
angles (deg): 151.76 151.76 40.37
Element x y z (fractional)
Ba (0.3750, 0.6250, 0.7500)
Ba (0.6250, 0.3750, 0.2500)
Mn (0.0000, 0.0000, 0.0000)
Mn (0.0000, 0.0000, 0.5000)
Mn (0.0000, 0.5000, 0.0000)
Mn (0.5000, 0.0000, 0.5000)
Te (0.1250, 0.8750, 0.2500)
Te (0.8750, 0.1250, 0.7500)

Output
symmetry = No. 141
volume = 31.340 Å³/atom
total moment = 14.7 μB per cell
raw formation energy = 173 meV/atom

***

(4)
DFT (PBE-GGA) results for an optimized crystal structure of LaMgTc2.

a b c (Å): 4.7750 4.7750 4.7750
angles (deg): 119.83 119.83 90.30
Element x y z (fractional)
La (0.0000, 0.0000, 0.0000)
Mg (0.7500, 0.2500, 0.5000)
Tc (0.2500, 0.7500, 0.5000)
Tc (0.5000, 0.5000, 0.0000)

Output
symmetry = No. 119
volume = 19.295 Å³/atom
total moment = 0.0 μB per cell
formation enthalpy at 0 K = 445.4 meV/atom

***

(5)
DFT (PBE-GGA) results for an optimized crystal structure of HfZnSN2.

a b c (Å): 4.0318 4.0318 5.4072
angles (deg): 90.00 90.00 90.00
Element x y z (fractional)
Hf (0.0000, 0.0000, 0.0000)
Zn (0.5000, 0.5000, 0.5000)
S (0.0000, 0.0000, 0.5000)
N (0.0000, 0.5000, 0.0000)
N (0.5000, 0.0000, 0.0000)

Output
symmetry = No. 123
volume = 17.579 Å³/atom
total moment = 0.3 μB per cell
energy relative to the lowest polymorph listed for this composition = 0.0 kJ/mol of atoms
raw formation energy = 253 meV/atom

***

(6)
DFT (PBE-GGA) results for an optimized crystal structure of Ho8Te4As3P.

a b c (Å): 8.5192 8.5192 8.5192
angles (deg): 58.45 58.45 58.45
Element x y z (fractional)
Ho (0.2391, 0.2391, 0.2391)
Ho (0.2444, 0.7348, 0.7348)
Ho (0.2652, 0.2652, 0.7556)
Ho (0.2652, 0.7556, 0.2652)
Ho (0.7348, 0.2444, 0.7348)
Ho (0.7348, 0.7348, 0.2444)
Ho (0.7556, 0.2652, 0.2652)
Ho (0.7609, 0.7609, 0.7609)
Te (0.0000, 0.0000, 0.0000)
Te (0.0000, 0.5000, 0.5000)
Te (0.5000, 0.0000, 0.5000)
Te (0.5000, 0.5000, 0.0000)
As (0.0000, 0.0000, 0.5000)
As (0.0000, 0.5000, 0.0000)
As (0.5000, 0.0000, 0.0000)
P (0.5000, 0.5000, 0.5000)

Output
symmetry = No. 166
volume = 26.355 Å³/atom
total moment = 0.0 μB per cell
raw formation energy = -1489 meV/atom

***

(7)
DFT (PBE-GGA) results for an optimized crystal structure of Li3BiPd.

a b c (Å): 4.6758 4.6758 4.6758
angles (deg): 90.00 90.00 90.00
Element x y z (fractional)
Li (0.0000, 0.0000, 0.5000)
Li (0.0000, 0.5000, 0.0000)
Li (0.5000, 0.0000, 0.0000)
Bi (0.5000, 0.5000, 0.5000)
Pd (0.0000, 0.0000, 0.0000)

Output
symmetry = No. 221
volume = 20.446 Å³/atom
total moment = 0.0 μB per cell
energy relative to the lowest polymorph listed for this composition = 34.1 kJ/mol of atoms
formation enthalpy at 0 K = -115.8 meV/atom

***

(8)
DFT (PBE-GGA) results for an optimized crystal structure of NbInTcHg2.

a b c (Å): 5.5498 5.5498 4.6382
angles (deg): 90.00 90.00 90.00
Element x y z (fractional)
Nb (0.0000, 0.0000, 0.0000)
In (0.5000, 0.5000, 0.5000)
Tc (0.0000, 0.0000, 0.5000)
Hg (0.0000, 0.5000, 0.0000)
Hg (0.5000, 0.0000, 0.0000)

Output
symmetry = No. 123
volume = 28.572 Å³/atom
total moment = 1.1 μB per cell
formation enthalpy at 0 K = 1010.1 meV/atom

***

(9)
DFT (PBE-GGA) results for an optimized crystal structure of La2CrPd.

a b c (Å): 5.2480 5.2480 5.2480
angles (deg): 60.00 60.00 60.00
Element x y z (fractional)
La (0.2500, 0.2500, 0.2500)
La (0.7500, 0.7500, 0.7500)
Cr (0.0000, 0.0000, 0.0000)
Pd (0.5000, 0.5000, 0.5000)

Output
symmetry = No. 225
volume = 25.550 Å³/atom
total moment = 3.6 μB per cell
energy relative to the lowest polymorph listed for this composition = 0.0 kJ/mol of atoms
formation enthalpy at 0 K = -74.6 meV/atom

***

(10)
DFT (PBE-GGA) results for an optimized crystal structure of SrMg2InAg2.

a b c (Å): 4.8509 4.8509 7.2580
angles (deg): 90.00 90.00 120.00
Element x y z (fractional)
Sr (0.0000, 0.0000, 0.0000)
Mg (0.3333, 0.6667, 0.6819)
Mg (0.6667, 0.3333, 0.3181)
In (0.0000, 0.0000, 0.5000)
Ag (0.3333, 0.6667, 0.2750)
Ag (0.6667, 0.3333, 0.7250)

Output
symmetry = No. 164
volume = 24.651 Å³/atom
total moment = 0.0 μB per cell
formation enthalpy at 0 K = -212.1 meV/atom

***

(11)
DFT (PBE-GGA) results for an optimized crystal structure of Tb6TlHg2.

a b c (Å): 10.0959 8.1374 6.9928
angles (deg): 83.34 53.19 43.47
Element x y z (fractional)
Tb (0.0142, 0.3225, 0.6775)
Tb (0.3225, 0.0142, 0.9858)
Tb (0.3424, 0.6576, 0.3424)
Tb (0.6576, 0.3424, 0.6576)
Tb (0.6775, 0.9858, 0.0142)
Tb (0.9858, 0.6775, 0.3225)
Tl (0.0000, 0.0000, 0.0000)
Hg (0.3357, 0.3357, 0.6643)
Hg (0.6643, 0.6643, 0.3357)

Output
symmetry = No. 69
volume = 28.661 Å³/atom
total moment = 2.1 μB per cell
energy relative to the lowest polymorph listed for this composition = 0.0 kJ/mol of atoms
formation enthalpy at 0 K = -272.3 meV/atom

***

(12)
DFT (PBE-GGA) results for an optimized crystal structure of MgAl4Re.

a b c (Å): 5.0951 5.0951 5.0951
angles (deg): 60.00 60.00 60.00
Element x y z (fractional)
Mg (0.0000, 0.0000, 0.0000)
Al (0.3757, 0.3757, 0.3757)
Al (0.3757, 0.3757, 0.8728)
Al (0.3757, 0.8728, 0.3757)
Al (0.8728, 0.3757, 0.3757)
Re (0.7500, 0.7500, 0.7500)

Output
symmetry = No. 216
volume = 15.589 Å³/atom
total moment = 0.0 μB per cell
formation enthalpy at 0 K = 37.6 meV/atom

***

(13)
DFT (PBE-GGA) results for an optimized crystal structure of TaV6Mo5.

a b c (Å): 6.8915 6.8915 6.1854
angles (deg): 90.00 90.00 142.98
Element x y z (fractional)
Ta (0.0000, 0.0000, 0.0000)
V (0.1691, 0.8309, 0.2529)
V (0.1691, 0.8309, 0.7471)
V (0.5000, 0.5000, 0.2547)
V (0.5000, 0.5000, 0.7453)
V (0.8309, 0.1691, 0.2529)
V (0.8309, 0.1691, 0.7471)
Mo (0.0000, 0.0000, 0.5000)
Mo (0.3330, 0.6670, 0.5000)
Mo (0.3344, 0.6656, 0.0000)
Mo (0.6656, 0.3344, 0.0000)
Mo (0.6670, 0.3330, 0.5000)

Output
symmetry = No. 65
volume = 14.738 Å³/atom
total moment = 0.0 μB per cell
formation enthalpy at 0 K = -105.4 meV/atom

***

(14)
DFT (PBE-GGA) results for an optimized crystal structure of SmDy5Ho.

a b c (Å): 7.8874 7.8874 7.8874
angles (deg): 137.07 113.61 82.38
Element x y z (fractional)
Sm (0.0000, 0.0000, 0.0000)
Dy (0.1788, 0.5000, 0.6788)
Dy (0.2539, 0.2539, 0.0000)
Dy (0.5000, 0.0000, 0.5000)
Dy (0.7461, 0.7461, 0.0000)
Dy (0.8212, 0.5000, 0.3212)
Ho (0.5000, 0.5000, 0.0000)

Output
symmetry = No. 71
volume = 42.278 Å³/atom
total moment = 0.0 μB per cell
energy relative to the lowest polymorph listed for this composition = 88.2 kJ/mol of atoms
formation enthalpy at 0 K = 1105.6 meV/atom

***

(15)
DFT (PBE-GGA) results for an optimized crystal structure of AlSi2Os.

a b c (Å): 2.9316 3.6090 5.1728
angles (deg): 90.00 90.00 90.00
Element x y z (fractional)
Al (0.0000, 0.0000, 0.0000)
Si (0.0000, 0.0000, 0.4996)
Si (0.5000, 0.5000, 0.7595)
Os (0.5000, 0.5000, 0.2778)

Output
symmetry = No. 25
volume = 13.682 Å³/atom
total moment = 0.0 μB per cell
raw formation energy = -10 meV/atom

***

(16)
DFT (PBE-GGA) results for an optimized crystal structure of Ac5Zn4.

a b c (Å): 6.8861 6.8861 11.4388
angles (deg): 108.50 108.50 34.93
Element x y z (fractional)
Ac (0.0000, 0.0000, 0.0000)
Ac (0.1249, 0.1249, 0.3884)
Ac (0.2350, 0.2350, 0.8303)
Ac (0.7650, 0.7650, 0.1697)
Ac (0.8751, 0.8751, 0.6116)
Zn (0.4087, 0.4087, 0.4003)
Zn (0.4609, 0.4609, 0.1912)
Zn (0.5391, 0.5391, 0.8088)
Zn (0.5913, 0.5913, 0.5997)

Output
symmetry = No. 12
volume = 32.544 Å³/atom
total moment = 0.0 μB per cell
formation enthalpy at 0 K = -171.9 meV/atom

***

(17)
DFT (PBE-GGA) results for an optimized crystal structure of BaHg6Pd6.

a b c (Å): 7.4164 7.4164 7.4164
angles (deg): 134.43 101.23 96.03
Element x y z (fractional)
Ba (0.0000, 0.0000, 0.0000)
Hg (0.1851, 0.6851, 0.5000)
Hg (0.3411, 0.0000, 0.3411)
Hg (0.3451, 0.3451, 0.0000)
Hg (0.6549, 0.6549, 0.0000)
Hg (0.6589, 0.0000, 0.6589)
Hg (0.8149, 0.3149, 0.5000)
Pd (0.0000, 0.0000, 0.5000)
Pd (0.0000, 0.5000, 0.0000)
Pd (0.2411, 0.5000, 0.7411)
Pd (0.5000, 0.0000, 0.0000)
Pd (0.5000, 0.5000, 0.5000)
Pd (0.7589, 0.5000, 0.2589)

Output
symmetry = No. 71
volume = 20.630 Å³/atom
total moment = 0.0 μB per cell
formation enthalpy at 0 K = -317.8 meV/atom

***

(18)
DFT (PBE-GGA) results for an optimized crystal structure of MnSb2TeI.

a b c (Å): 5.8100 5.8100 5.9567
angles (deg): 90.00 90.00 90.00
Element x y z (fractional)
Mn (0.0000, 0.0000, 0.0000)
Sb (0.0000, 0.5000, 0.5000)
Sb (0.5000, 0.0000, 0.5000)
Te (0.5000, 0.5000, 0.5000)
I (0.5000, 0.5000, 0.0000)

Output
symmetry = No. 123
volume = 40.215 Å³/atom
total moment = 4.3 μB per cell
energy relative to the lowest polymorph listed for this composition = 72.0 kJ/mol of atoms
raw formation energy = 1037 meV/atom

***

(19)
DFT (PBE-GGA) results for an optimized crystal structure of Mg9Si5.

a b c (Å): 7.2398 7.2403 12.1271
angles (deg): 89.20 89.00 60.44
Element x y z (fractional)
Mg (0.0000, 0.0000, 0.0000)
Mg (0.0036, 0.5747, 0.3633)
Mg (0.0240, 0.5803, 0.0394)
Mg (0.0490, 0.5689, 0.6982)
Mg (0.2500, 0.7319, 0.5350)
Mg (0.2517, 0.7302, 0.1964)
Mg (0.3096, 0.0642, 0.7054)
Mg (0.3324, 0.6898, 0.8545)
Mg (0.3780, 0.9927, 0.3626)
Mg (0.5574, 0.3563, 0.0363)
Mg (0.5670, 0.3217, 0.6985)
Mg (0.5784, 0.3674, 0.3631)
Mg (0.6947, 0.9261, 0.8586)
Mg (0.7286, 0.9622, 0.5366)
Mg (0.7331, 0.9732, 0.1923)
Mg (0.8773, 0.3745, 0.8599)
Mg (0.9679, 0.2433, 0.5321)
Mg (0.9774, 0.2426, 0.1998)
Si (0.3015, 0.3137, 0.8721)
Si (0.3121, 0.1079, 0.0371)
Si (0.3152, 0.3140, 0.5299)
Si (0.3205, 0.3087, 0.2055)
Si (0.5883, 0.7233, 0.0194)
Si (0.6380, 0.6602, 0.6983)
Si (0.6515, 0.6423, 0.4976)
Si (0.6577, 0.6451, 0.2144)
Si (0.9789, 0.9815, 0.7170)
Si (0.9833, 0.9794, 0.3653)

Output
symmetry = No. 1
volume = 19.745 Å³/atom
total moment = 0.0 μB per cell
energy relative to the lowest polymorph listed for this composition = 6.3 kJ/mol of atoms
raw formation energy = -48 meV/atom

***

(20)
DFT (PBE-GGA) results for an optimized crystal structure of LaTb2Pr4Sc.

a b c (Å): 5.1166 5.1384 10.2244
angles (deg): 90.00 90.05 90.00
Element x y z (fractional)
La (0.0000, 0.0000, 0.0000)
Tb (0.0000, 0.0000, 0.5000)
Tb (0.5000, 0.5000, 0.5000)
Pr (0.9998, 0.5000, 0.2484)
Pr (0.0002, 0.5000, 0.7516)
Pr (0.4996, 0.0000, 0.2490)
Pr (0.5004, 0.0000, 0.7510)
Sc (0.5000, 0.5000, 0.0000)

Output
symmetry = No. 10
volume = 33.601 Å³/atom
total moment = 0.0 μB per cell
formation enthalpy at 0 K = 29.8 meV/atom

***

(21)
DFT (PBE-GGA) results for an optimized crystal structure of Al2VWSe.

a b c (Å): 4.9793 4.9793 4.4905
angles (deg): 90.00 90.00 90.00
Element x y z (fractional)
Al (0.0000, 0.5000, 0.0000)
Al (0.5000, 0.0000, 0.0000)
V (0.0000, 0.0000, 0.5000)
W (0.0000, 0.0000, 0.0000)
Se (0.5000, 0.5000, 0.5000)

Output
symmetry = No. 123
volume = 22.267 Å³/atom
total moment = 0.0 μB per cell
raw formation energy = 961 meV/atom

***

(22)
DFT (PBE-GGA) results for an optimized crystal structure of Ni2PdPb.

a b c (Å): 4.0005 4.0005 3.7740
angles (deg): 90.00 90.00 90.00
Element x y z (fractional)
Ni (0.0000, 0.5000, 0.0000)
Ni (0.5000, 0.0000, 0.0000)
Pd (0.0000, 0.0000, 0.5000)
Pb (0.5000, 0.5000, 0.5000)

Output
symmetry = No. 123
volume = 15.100 Å³/atom
total moment = 0.0 μB per cell
formation enthalpy at 0 K = 26.0 meV/atom

***

(23)
DFT (PBE-GGA) results for an optimized crystal structure of Pr2Ga3HgPd4.

a b c (Å): 4.1603 4.1603 11.7170
angles (deg): 90.00 90.00 90.00
Element x y z (fractional)
Pr (0.0000, 0.5000, 0.2484)
Pr (0.5000, 0.0000, 0.7516)
Ga (0.0000, 0.5000, 0.8745)
Ga (0.5000, 0.0000, 0.1255)
Ga (0.5000, 0.5000, 0.5000)
Hg (0.0000, 0.0000, 0.5000)
Pd (0.0000, 0.0000, 0.0000)
Pd (0.0000, 0.5000, 0.6604)
Pd (0.5000, 0.0000, 0.3396)
Pd (0.5000, 0.5000, 0.0000)

Output
symmetry = No. 115
volume = 20.280 Å³/atom
total moment = 0.0 μB per cell
formation enthalpy at 0 K = -700.0 meV/atom